Density functional theory data (GGA-PBE) for a geometry-optimized Sc2Ag2Bi structure.

POSCAR file:
```
Sc2Ag2Bi
1.0
-3.8075 1.1823 -6.5180
6.3422 -1.5202 -3.9806
-0.9553 -3.6926 -0.1118
Sc Bi Ag
4 2 4
direct
0.1653 0.6653 0.5000
0.6653 0.8347 0.5000
0.8347 0.3347 0.5000
0.3347 0.1653 0.5000
0.0000 0.0000 0.0000
0.5000 0.5000 0.0000
0.3733 0.8733 0.0000
0.8733 0.6267 0.0000
0.6267 0.1267 0.0000
0.1267 0.3733 0.0000
```

Output
Crystal system: tetragonal
Total energy in eV/atom: -4.717
Energy above the lowest structure with this stoichiometry in eV/f.u.: 0.000
Calculated formation energy in eV per atom: -0.268
Calculated density in g/cm3: 7.67
DOS at the Fermi energy in states/eV per cell: 6.34